PBE-GGA AcPbF4, relaxed; N(E_F) = 0.110 states/eV per cell; crystal system = tetragonal; raw formation energy = -3.07 eV/atom; uncorrected energy = -5.618 eV per atom
1.0
-3.9885 3.9885 4.5083
3.9885 -3.9885 4.5083
3.9885 3.9885 -4.5083
Ac Pb F
2 2 8
Cartesian
0.0000 0.0000 0.0000 Ac
0.0000 3.9885 2.2541 Ac
3.9885 0.0000 2.2613 Pb
0.0000 0.0000 4.5155 Pb
3.9885 1.5369 -0.4139 F
2.4516 3.9885 -2.6681 F
1.5369 0.0000 1.8402 F
0.0000 2.4114 0.3855 F
0.0000 5.5655 0.3855 F
0.0000 2.4516 4.0944 F
2.4114 3.9885 2.6397 F
1.5770 0.0000 7.1480 F